Entry 1:
This record from Alexandria via LeMat-Bulk describes TlH8IrPd2 after structural relaxation. The functional is GGA-PBE.

Output
Electronic total energy: -47.341 eV per cell

abc: 4.659 4.676 5.367
angles: 88.63 89.00 86.22
Space group P-1 (No. 2)
Unique sites:
Tl (0.000, 0.000, 0.000) [1 per cell]
H (0.160, 0.703, 0.353) [2 per cell]
H (0.248, 0.253, 0.517) [2 per cell]
H (0.301, 0.851, 0.651) [2 per cell]
H (0.369, 0.377, 0.925) [2 per cell]
Ir (0.000, 0.000, 0.500) [1 per cell]
Pd (0.410, 0.409, 0.248) [2 per cell]

Entry 2:
This record from Alexandria via LeMat-Bulk describes TlH6IrPd after structural relaxation. The functional is GGA-PBE.

Output
Electronic total energy: -36.531 eV per cell

abc: 4.868 5.015 5.305
angles: 66.80 63.75 64.44
Space group P1 (No. 1)
Unique sites:
Tl (0.000, 0.000, 0.000) [1 per cell]
H (0.240, 0.157, 0.389) [1 per cell]
H (0.349, 0.599, 0.740) [1 per cell]
H (0.447, 0.753, 0.294) [1 per cell]
H (0.555, 0.188, 0.526) [1 per cell]
H (0.780, 0.775, 0.700) [1 per cell]
H (0.817, 0.521, 0.473) [1 per cell]
Ir (0.534, 0.865, 0.503) [1 per cell]
Pd (0.169, 0.491, 0.552) [1 per cell]

Entry 3:
This record from Alexandria via LeMat-Bulk describes Tl2H6IrPd after structural relaxation. The functional is GGA-PBE.

Output
Electronic total energy: -75.950 eV per cell

abc: 6.932 6.943 5.938
angles: 90.00 120.35 90.00
Space group Cm (No. 8)
Unique sites:
Tl (0.000, 0.247, 0.000) [4 per cell]
H (0.200, 0.500, 0.869) [2 per cell]
H (0.227, 0.500, 0.477) [2 per cell]
H (0.249, 0.000, 0.508) [2 per cell]
H (0.350, 0.000, 0.220) [2 per cell]
H (0.492, 0.246, 0.498) [4 per cell]
Ir (0.012, 0.500, 0.546) [2 per cell]
Pd (0.009, 0.000, 0.544) [2 per cell]